Record 1
Sm5Ho5Sc2 | the Alexandria database | PBE | optimized geometry; ΔH_f (0 K) = 4 kJ/mol of atoms; electronic total energy = -58.7 eV/f.u.; polymorph energy (0 for the lowest one) = 0.000 eV/f.u.
1.0
-4.171 2.469 -1.135
-6.125 -3.960 2.978
-2.670 4.689 9.100
Sm Ho Sc
5 5 2
direct
0.253 0.744 0.749
0.747 0.256 0.251
0.164 0.172 0.501
0.000 0.000 0.000
0.836 0.828 0.499
0.668 0.665 0.000
0.580 0.089 0.751
0.420 0.911 0.249
0.500 0.500 0.500
0.332 0.335 0.000
0.084 0.586 0.247
0.916 0.414 0.753

---

Record 2
Sm8Ho2Sc3 | the Alexandria database | PBE | optimized geometry; ΔH_f (0 K) = 24 kJ/mol of atoms; electronic total energy = -62.7 eV/f.u.; polymorph energy (0 for the lowest one) = 0.487 eV/f.u.
1.0
-4.336 -0.378 4.985
6.682 -0.913 5.741
-2.250 7.786 -2.975
Sm Sc Ho
8 3 2
direct
0.188 0.810 0.619
0.105 0.410 0.820
0.812 0.190 0.381
0.432 0.794 0.222
0.568 0.572 0.778
0.568 0.206 0.778
0.432 0.428 0.222
0.895 0.590 0.180
0.500 0.000 0.000
0.000 0.162 0.000
0.000 0.838 0.000
0.298 0.197 0.394
0.702 0.803 0.606

---

Record 3
Sm2HoSc | the Alexandria database | PBE | optimized geometry; ΔH_f (0 K) = 3 kJ/mol of atoms; electronic total energy = -20.2 eV/f.u.; polymorph energy (0 for the lowest one) = 0.000 eV/f.u.
1.0
-0.935 -4.414 -3.331
8.233 1.556 -4.372
-2.654 -6.873 9.851
Sm Ho Sc
8 4 4
direct
0.250 0.998 0.914
0.750 0.002 0.586
0.250 0.502 0.165
0.750 0.498 0.335
0.750 0.002 0.086
0.250 0.998 0.414
0.750 0.498 0.835
0.250 0.502 0.665
0.250 0.750 0.545
0.750 0.250 0.455
0.750 0.250 0.955
0.250 0.750 0.045
0.750 0.750 0.209
0.250 0.250 0.791
0.750 0.750 0.709
0.250 0.250 0.291

---

Record 4
Sm8HoSc4 | the Alexandria database | PBE | optimized geometry; ΔH_f (0 K) = 24 kJ/mol of atoms; electronic total energy = -64.5 eV/f.u.
1.0
-6.053 -2.221 2.707
3.931 -4.350 -3.812
7.291 0.125 7.376
Sc Ho Sm
4 1 8
direct
0.000 0.000 0.000
0.500 0.500 0.000
0.500 0.000 0.000
0.000 0.500 0.000
0.000 0.500 0.500
0.028 0.781 0.276
0.505 0.752 0.724
0.972 0.219 0.724
0.028 0.248 0.276
0.423 0.211 0.634
0.577 0.789 0.366
0.972 0.752 0.724
0.495 0.248 0.276

---

Record 5
SmHo12Sc5 | the Alexandria database | PBE | optimized geometry; ΔH_f (0 K) = 3 kJ/mol of atoms; electronic total energy = -90.7 eV/f.u.
1.0
6.013 0.000 -0.364
3.006 5.217 -0.182
-0.988 0.000 16.837
Ho Sc Sm
12 5 1
direct
0.720 0.335 0.167
0.220 0.000 0.661
0.113 0.333 0.339
0.056 0.665 0.167
0.887 0.667 0.661
0.554 0.333 0.661
0.780 0.000 0.339
0.609 0.000 0.833
0.446 0.667 0.339
0.945 0.335 0.833
0.391 0.000 0.167
0.280 0.665 0.833
0.500 0.000 0.500
0.333 0.333 0.000
0.833 0.333 0.500
0.667 0.667 0.000
0.167 0.667 0.500
0.000 0.000 0.000

---

Record 6
Sm2Ho8Sc3 | the Alexandria database | PBE | optimized geometry; ΔH_f (0 K) = 25 kJ/mol of atoms; electronic total energy = -61.7 eV/f.u.; polymorph energy (0 for the lowest one) = 2.767 eV/f.u.
1.0
6.507 0.000 0.687
0.000 8.676 0.000
-1.778 -4.338 7.088
Ho Sc Sm
8 3 2
direct
0.424 0.791 0.217
0.213 0.808 0.616
0.424 0.426 0.217
0.576 0.209 0.783
0.576 0.574 0.783
0.787 0.192 0.384
0.114 0.412 0.825
0.886 0.588 0.175
0.500 0.000 0.000
0.000 0.164 0.000
0.000 0.836 0.000
0.720 0.797 0.593
0.280 0.203 0.407

---

Record 7
Sm6Ho3Sc2 | the Alexandria database | PBE | optimized geometry; ΔH_f (0 K) = 30 kJ/mol of atoms; electronic total energy = -51.3 eV/f.u.; polymorph energy (0 for the lowest one) = 1.254 eV/f.u.
1.0
4.739 0.000 0.000
0.000 4.739 0.000
-2.370 -2.370 16.104
Ho Sm Sc
3 6 2
direct
0.000 0.000 0.000
0.197 0.197 0.394
0.803 0.803 0.606
0.885 0.385 0.769
0.697 0.697 0.394
0.615 0.115 0.231
0.303 0.303 0.606
0.115 0.615 0.231
0.385 0.885 0.769
0.543 0.543 0.086
0.457 0.457 0.914

---

Record 8
Sm2Ho5Sc | the Alexandria database | PBE | optimized geometry; ΔH_f (0 K) = 3 kJ/mol of atoms; electronic total energy = -38.4 eV/f.u.
1.0
4.963 0.000 0.000
0.000 7.039 0.000
0.000 0.000 14.086
Ho Sm Sc
10 4 2
direct
0.500 0.751 0.124
0.500 0.251 0.376
0.500 0.249 0.876
0.000 0.500 0.500
0.500 0.749 0.624
0.000 0.002 0.252
0.000 0.998 0.748
0.000 0.000 0.000
0.000 0.498 0.752
0.000 0.502 0.248
0.500 0.247 0.624
0.500 0.753 0.376
0.500 0.253 0.124
0.500 0.747 0.876
0.000 0.500 0.000
0.000 0.000 0.500